This record from Alexandria describes a geometry-optimized Pu2NbSn structure. The functional is PBE-GGA.

Cell: 11.603 11.603 11.603 Å, 15.79 15.79 15.79°
Sites, in units of the cell vectors:
Pu 0.095 0.095 0.095
Pu 0.905 0.905 0.905
Nb 0.500 0.500 0.500
Sn 0.000 0.000 0.000

The calculation puts the mass density at 11.518 Mg/m³. The calculation puts the energy above the most stable polymorph in this dataset at 380 meV/atom. The calculation puts the density of states at the Fermi level at 12.7 states/eV/f.u. Its total magnetic moment is 11.3 μB per cell. As for the space group: R-3m (166).